Entry 1:
A plane-wave DFT calculation with PBEsol was carried out for a geometry-optimized SiHIN2 structure.

Calculated values
electronic total energy = -4.9347 eV/atom

a = 3.386 Å, b = 3.386 Å, c = 6.694 Å
α = 90.00°, β = 90.00°, γ = 90.00°
Fractional coordinates of all 5 atoms:
I1 0.000 0.000 0.500
Si1 0.000 0.000 0.000
N1 0.000 0.500 0.000
N2 0.500 0.000 0.000
H1 0.500 0.500 0.500

=====

Entry 2:
A plane-wave DFT calculation with PBEsol was carried out for a geometry-optimized CoAg2PtC structure.

Calculated values
energy of formation = 2.440 eV/atom
electronic total energy = -3.7533 eV/atom

a = 4.497 Å, b = 5.010 Å, c = 5.010 Å
α = 90.00°, β = 90.00°, γ = 90.00°
Each line ends with the local moment (μB).
Fractional coordinates of all 5 atoms:
Ag1 0.000 0.500 0.000  0.01
Ag2 0.000 0.000 0.500  0.01
Pt1 0.000 0.000 0.000  0.39
Co1 0.500 0.000 0.000  2.23
C1 0.500 0.500 0.500  0.77

=====

Entry 3:
A plane-wave DFT calculation with PBEsol was carried out for a geometry-optimized NbRu3 structure.

Calculated values
energy of formation = -0.094 eV/atom
electronic total energy = -10.4283 eV/atom

a = 3.855 Å, b = 3.855 Å, c = 3.855 Å
α = 90.00°, β = 90.00°, γ = 90.00°
Fractional coordinates of all 4 atoms:
Ru1 0.000 0.500 0.500
Ru2 0.500 0.500 0.000
Ru3 0.500 0.000 0.500
Nb1 0.000 0.000 0.000

=====

Entry 4:
A plane-wave DFT calculation with PBEsol was carried out for a geometry-optimized TaHgSN2 structure.

Calculated values
electronic total energy = -6.8015 eV/atom
formation energy without anion corrections = 110 meV/atom

a = 3.953 Å, b = 3.953 Å, c = 5.209 Å
α = 90.00°, β = 90.00°, γ = 90.00°
Fractional coordinates of all 5 atoms:
S1 0.000 0.000 0.500
Ta1 0.000 0.000 0.000
N1 0.500 0.000 0.000
N2 0.000 0.500 0.000
Hg1 0.500 0.500 0.500

=====

Entry 5:
A plane-wave DFT calculation with PBEsol was carried out for a geometry-optimized In2MoP structure.

Calculated values
energy of formation = 0.638 eV/atom
electronic total energy = -5.2432 eV/atom

a = 4.689 Å, b = 4.689 Å, c = 4.689 Å
α = 60.00°, β = 60.00°, γ = 60.00°
Fractional coordinates of all 4 atoms:
P1 0.250 0.250 0.250
In1 0.750 0.750 0.750
In2 0.000 0.000 0.000
Mo1 0.500 0.500 0.500

=====

Entry 6:
A plane-wave DFT calculation with PBEsol was carried out for a geometry-optimized TaNiRh structure.

Calculated values
energy of formation = -0.261 eV/atom
electronic total energy = -9.2100 eV/atom
energy above the most stable polymorph in this dataset = 150 meV/atom

a = 2.705 Å, b = 4.218 Å, c = 4.218 Å
α = 120.00°, β = 90.00°, γ = 90.00°
Fractional coordinates of all 3 atoms:
Rh1 0.657 0.667 0.333
Ni1 0.054 0.000 0.000
Ta1 0.289 0.333 0.667

=====

Entry 7:
A plane-wave DFT calculation with PBEsol was carried out for a geometry-optimized SnBi structure.

Calculated values
energy of formation = 0.029 eV/atom
electronic total energy = -4.2429 eV/atom

a = 3.231 Å, b = 4.595 Å, c = 4.595 Å
α = 82.90°, β = 69.42°, γ = 69.42°
Fractional coordinates of all 2 atoms:
Sn1 0.000 0.000 0.000
Bi1 0.250 0.500 0.500

=====

Entry 8:
A plane-wave DFT calculation with PBEsol was carried out for a geometry-optimized KTaSb structure.

Calculated values
electronic total energy = -5.0216 eV/atom
formation energy without anion corrections = 1059 meV/atom
energy above the most stable polymorph in this dataset = 539 meV/atom

a = 4.954 Å, b = 4.954 Å, c = 4.954 Å
α = 60.00°, β = 60.00°, γ = 60.00°
Each line ends with the local moment (μB).
Fractional coordinates of all 3 atoms:
Sb1 0.250 0.250 0.250  -0.10
K1 0.500 0.500 0.500  0.04
Ta1 0.000 0.000 0.000  1.66

=====

Entry 9:
A plane-wave DFT calculation with PBEsol was carried out for a geometry-optimized ZnSiHg2 structure.

Calculated values
electronic total energy = -1.8520 eV/atom
formation energy without anion corrections = 264 meV/atom
energy above the most stable polymorph in this dataset = 12 meV/atom

a = 3.309 Å, b = 3.309 Å, c = 8.287 Å
α = 78.48°, β = 78.48°, γ = 60.00°
Fractional coordinates of all 4 atoms:
Hg1 0.750 0.750 0.751
Hg2 0.250 0.250 0.249
Zn1 0.000 0.000 0.000
Si1 0.500 0.500 0.500

=====

Entry 10:
A plane-wave DFT calculation with PBEsol was carried out for a geometry-optimized La2SCl structure.

Calculated values
electronic total energy = -5.6517 eV/atom
formation energy without anion corrections = -1381 meV/atom

a = 6.472 Å, b = 6.472 Å, c = 7.902 Å
α = 114.17°, β = 114.17°, γ = 90.00°
Fractional coordinates of all 8 atoms:
La1 0.389 0.875 0.250
La2 0.625 0.611 0.750
La3 0.125 0.139 0.750
La4 0.861 0.375 0.250
Cl1 0.250 0.750 0.500
Cl2 0.000 0.000 0.000
S1 0.500 0.500 0.000
S2 0.750 0.250 0.500

=====

Entry 11:
A plane-wave DFT calculation with PBEsol was carried out for a geometry-optimized ThB2C structure.

Calculated values
energy of formation = -0.562 eV/atom
electronic total energy = -8.5076 eV/atom

a = 5.396 Å, b = 5.396 Å, c = 5.396 Å
α = 76.13°, β = 76.13°, γ = 76.13°
Fractional coordinates of all 12 atoms:
B1 0.225 0.775 0.500
B2 0.500 0.225 0.775
B3 0.225 0.500 0.775
B4 0.775 0.500 0.225
B5 0.775 0.225 0.500
B6 0.500 0.775 0.225
C1 0.500 0.000 0.000
C2 0.000 0.500 0.000
C3 0.000 0.000 0.500
Th1 0.685 0.685 0.685
Th2 0.315 0.315 0.315
Th3 0.000 0.000 0.000

=====

Entry 12:
A plane-wave DFT calculation with PBEsol was carried out for a geometry-optimized ZnCoTe2 structure.

Calculated values
electronic total energy = -3.7439 eV/atom
formation energy without anion corrections = 349 meV/atom

a = 4.147 Å, b = 4.842 Å, c = 4.842 Å
α = 102.50°, β = 107.09°, γ = 107.09°
Each line ends with the local moment (μB).
Fractional coordinates of all 4 atoms:
Te1 0.000 0.000 0.500  0.03
Te2 0.000 0.500 0.000  0.03
Zn1 0.500 0.500 0.500  -0.01
Co1 0.500 0.000 0.000  1.43

=====

Entry 13:
A plane-wave DFT calculation with PBEsol was carried out for a geometry-optimized CdSe3F structure.

Calculated values
electronic total energy = -2.7018 eV/atom
formation energy without anion corrections = 233 meV/atom

a = 4.633 Å, b = 4.633 Å, c = 4.633 Å
α = 90.00°, β = 90.00°, γ = 90.00°
Fractional coordinates of all 5 atoms:
Se1 0.000 0.500 0.000
Se2 0.500 0.000 0.000
Se3 0.000 0.000 0.500
Cd1 0.500 0.500 0.500
F1 0.000 0.000 0.000

=====

Entry 14:
A plane-wave DFT calculation with PBEsol was carried out for a geometry-optimized ScRu2Rh structure.

Calculated values
energy of formation = 0.031 eV/atom
electronic total energy = -8.7416 eV/atom

a = 4.360 Å, b = 4.360 Å, c = 4.360 Å
α = 60.00°, β = 60.00°, γ = 60.00°
Fractional coordinates of all 4 atoms:
Ru1 0.250 0.250 0.250
Ru2 0.750 0.750 0.750
Sc1 0.500 0.500 0.500
Rh1 0.000 0.000 0.000

=====

Entry 15:
A plane-wave DFT calculation with PBEsol was carried out for a geometry-optimized KCr2Co structure.

Calculated values
energy of formation = 0.835 eV/atom
electronic total energy = -6.5040 eV/atom
energy above the most stable polymorph in this dataset = 0 meV/atom

a = 2.892 Å, b = 2.892 Å, c = 8.072 Å
α = 90.00°, β = 90.00°, γ = 90.00°
Each line ends with the local moment (μB).
Fractional coordinates of all 4 atoms:
Cr1 0.000 0.000 0.986  -0.97
Cr2 0.500 0.500 0.156  2.75
K1 0.000 0.000 0.518  0.04
Co1 0.500 0.500 0.840  0.64

=====

Entry 16:
A plane-wave DFT calculation with PBEsol was carried out for a geometry-optimized KIn2Os structure.

Calculated values
energy of formation = 0.453 eV/atom
electronic total energy = -4.3761 eV/atom
energy above the most stable polymorph in this dataset = 0 meV/atom

a = 2.847 Å, b = 4.519 Å, c = 7.877 Å
α = 94.52°, β = 90.00°, γ = 108.36°
Fractional coordinates of all 4 atoms:
In1 0.264 0.529 0.315
In2 0.736 0.471 0.685
K1 0.500 0.000 0.000
Os1 0.000 0.000 0.500

=====

Entry 17:
A plane-wave DFT calculation with PBEsol was carried out for a geometry-optimized FeRuRh2 structure.

Calculated values
energy of formation = 0.054 eV/atom
electronic total energy = -8.7989 eV/atom

a = 2.646 Å, b = 2.646 Å, c = 8.658 Å
α = 81.21°, β = 81.21°, γ = 60.00°
Each line ends with the local moment (μB).
Fractional coordinates of all 4 atoms:
Fe1 0.000 0.000 0.000  2.55
Rh1 0.748 0.748 0.755  0.08
Rh2 0.252 0.252 0.245  0.08
Ru1 0.500 0.500 0.500  -0.14

=====

Entry 18:
A plane-wave DFT calculation with PBEsol was carried out for a geometry-optimized YHf2Co2 structure.

Calculated values
energy of formation = -0.268 eV/atom
electronic total energy = -8.9282 eV/atom

a = 4.305 Å, b = 4.305 Å, c = 5.840 Å
α = 111.63°, β = 111.63°, γ = 90.00°
Fractional coordinates of all 5 atoms:
Hf1 0.250 0.750 0.500
Hf2 0.750 0.250 0.500
Y1 0.000 0.000 0.000
Co1 0.611 0.611 0.222
Co2 0.389 0.389 0.778

=====

Entry 19:
A plane-wave DFT calculation with PBEsol was carried out for a geometry-optimized ScNbAs2 structure.

Calculated values
energy of formation = -0.671 eV/atom
electronic total energy = -7.5805 eV/atom
energy above the most stable polymorph in this dataset = 0 meV/atom

a = 4.588 Å, b = 4.588 Å, c = 4.588 Å
α = 60.00°, β = 60.00°, γ = 60.00°
Fractional coordinates of all 4 atoms:
Sc1 0.000 0.000 0.000
Nb1 0.500 0.500 0.500
As1 0.750 0.750 0.750
As2 0.250 0.250 0.250

=====

Entry 20:
A plane-wave DFT calculation with PBEsol was carried out for a geometry-optimized Mn2CoIr structure.

Calculated values
energy of formation = -0.065 eV/atom
electronic total energy = -9.3358 eV/atom

a = 3.560 Å, b = 3.560 Å, c = 4.373 Å
α = 114.02°, β = 114.02°, γ = 90.00°
Each line ends with the local moment (μB).
Fractional coordinates of all 4 atoms:
Mn1 0.250 0.750 0.500  1.17
Mn2 0.750 0.250 0.500  1.17
Co1 0.500 0.500 0.000  -0.43
Ir1 0.000 0.000 0.000  -0.08